# 1
Material: AlFe3C
Method: DFT, PBEsol
State: optimized geometry

Results
DFT formation energy: -22.2 kJ per mole of atoms

extended XYZ file:
```
5
Lattice="3.6904 0.0000 0.0000 0.0000 3.6904 0.0000 0.0000 0.0000 3.6904" Properties=species:S:1:pos:R:3 pbc="T T T"
Al 0.0000 0.0000 0.0000
Fe 0.0000 1.8452 1.8452
Fe 1.8452 0.0000 1.8452
Fe 1.8452 1.8452 0.0000
C 1.8452 1.8452 1.8452
```


# 2
Material: Sm2Al2Fe15C
Method: DFT, PBEsol
State: optimized geometry

Results
DFT formation energy: -7.8 kJ per mole of atoms

extended XYZ file:
```
20
Lattice="4.7695 -4.1982 0.0000 4.7695 4.1982 0.0000 -1.0668 0.0000 6.2414" Properties=species:S:1:pos:R:3 pbc="T T T"
Sm 1.1162 0.0000 2.2578
Sm 7.3559 0.0000 3.9836
Al 3.6701 0.0000 0.6388
Al 4.8020 0.0000 5.6026
Fe 2.3847 2.0991 0.0000
Fe 0.5737 0.0000 5.3070
Fe 3.5215 2.0687 2.1393
Fe 2.6460 1.2072 4.4621
Fe 4.7695 2.3835 0.0000
Fe 4.9506 2.0687 4.1021
Fe 5.8261 1.2072 1.7793
Fe 2.3847 -2.0991 0.0000
Fe 4.2361 0.0000 3.1207
Fe 2.6460 -1.2072 4.4621
Fe 3.5215 -2.0687 2.1393
Fe 4.7695 -2.3835 0.0000
Fe 5.8261 -1.2072 1.7793
Fe 4.9506 -2.0687 4.1021
Fe 7.8984 0.0000 0.9344
C 0.0000 0.0000 0.0000
```


# 3
Material: Gd3AlC
Method: DFT, PBEsol
State: optimized geometry

Results
DFT formation energy: -34.1 kJ per mole of atoms

extended XYZ file:
```
5
Lattice="4.8733 0.0000 0.0000 0.0000 4.8733 0.0000 0.0000 0.0000 4.8733" Properties=species:S:1:pos:R:3 pbc="T T T"
Gd 0.0000 0.0000 2.4366
Gd 0.0000 2.4366 0.0000
Gd 2.4366 0.0000 0.0000
Al 2.4366 2.4366 2.4366
C 0.0000 0.0000 0.0000
```


# 4
Material: AlGeOs2C
Method: DFT, PBEsol
State: optimized geometry

Results
DFT formation energy: 180.8 kJ per mole of atoms

extended XYZ file:
```
5
Lattice="4.5575 0.0000 0.0000 0.0000 4.5575 0.0000 0.0000 0.0000 3.5574" Properties=species:S:1:pos:R:3 pbc="T T T"
Al 0.0000 0.0000 0.0000
Ge 2.2787 2.2787 1.7787
Os 0.0000 2.2787 0.0000
Os 2.2787 0.0000 0.0000
C 0.0000 0.0000 1.7787
```


# 5
Material: Rb2AlGeC
Method: DFT, PBEsol
State: optimized geometry

Results
DFT formation energy: 141.3 kJ per mole of atoms

extended XYZ file:
```
5
Lattice="6.7967 0.0000 0.0000 0.0000 6.7967 0.0000 0.0000 0.0000 4.5157" Properties=species:S:1:pos:R:3 pbc="T T T"
Rb 0.0000 3.3983 0.0000
Rb 3.3983 0.0000 0.0000
Al 0.0000 0.0000 0.0000
Ge 0.0000 0.0000 2.2578
C 3.3983 3.3983 2.2578
```


# 6
Material: KAlH2CO5
Method: DFT, PBEsol
State: optimized geometry

extended XYZ file:
```
20
Lattice="3.1646 -5.8694 0.0000 3.1646 5.8694 0.0000 0.0000 0.0000 5.6520" Properties=species:S:1:pos:R:3 pbc="T T T"
K 3.1646 4.0567 4.2390
K 3.1646 -4.0567 1.4130
Al 3.1646 0.0000 0.0000
Al 3.1646 0.0000 2.8260
H 1.3137 0.9495 4.2390
H 1.3137 -0.9495 1.4130
H 5.0155 0.9495 4.2390
H 5.0155 -0.9495 1.4130
C 3.1646 2.5423 1.4130
C 3.1646 -2.5423 4.2390
O 3.1646 3.8281 1.4130
O 1.9117 0.1544 4.2390
O 1.9117 -0.1544 1.4130
O 3.1646 1.9064 0.2809
O 3.1646 1.9064 2.5451
O 3.1646 -1.9064 3.1069
O 3.1646 -1.9064 5.3712
O 4.4174 0.1544 4.2390
O 4.4174 -0.1544 1.4130
O 3.1646 -3.8281 4.2390
```


Number 1: ρ 6.824 g cm⁻³, M_tot 0.3099 μB/atom, DFT total energy -0.614 Ry/atom. Number 2: ρ 8.001 g cm⁻³, M_tot 1.2675 μB/atom, DFT total energy -0.603 Ry/atom. Number 3: ρ 7.328 g cm⁻³, M_tot 4.2473 μB/atom, DFT total energy -0.865 Ry/atom. Number 4: ρ 11.059 g cm⁻³, M_tot 0.0000 μB/atom, DFT total energy -0.496 Ry/atom. Number 5: ρ 2.249 g cm⁻³, M_tot 0.5526 μB/atom, DFT total energy -0.197 Ry/atom. Number 6: ρ 2.532 g cm⁻³, M_tot 0.0001 μB/atom, DFT total energy -0.489 Ry/atom.